CuAu5, optimized geometry, DFT GGA-PBE; total magnetization = 0.0 μB per formula unit; DFT formation energy = -0.013 eV per atom; space group = P4/mmm (123)
1.0
12.193 0.000 0.000
0.000 2.907 0.000
0.000 0.000 2.907
Au Cu
5 1
direct
0.687 0.000 0.000 Au
0.157 0.500 0.500 Au
0.980 0.000 0.000 Au
0.509 0.500 0.500 Au
0.333 0.000 0.000 Au
0.833 0.500 0.500 Cu